A plane-wave DFT calculation with GGA-PBE was carried out for a relaxed CaMgSCl2 crystal.

Calculated values
Formation energy (no corrections)   -1617 meV/atom
Space group   P4/mmm, No. 123
E above lowest polymorph   0 meV/atom

Lattice parameters (Å, degrees): 4.753 4.753 5.127 90.00 90.00 90.00
Sites, in units of the cell vectors:
Ca 0.000 0.000 0.000
Mg 0.500 0.500 0.500
S 0.500 0.500 0.000
Cl 0.000 0.500 0.500
Cl 0.500 0.000 0.500